# 1
Compound: HSI
Source: Alexandria via LeMat-Bulk
Functional: PBE-GGA
Structure: relaxed

```
data_HSI
_chemical_formula_sum 'H2 S2 I2'
_cell_length_a 4.9264
_cell_length_b 5.9402
_cell_length_c 9.0260
_cell_angle_alpha 109.21
_cell_angle_beta 116.92
_cell_angle_gamma 90.00
_symmetry_space_group_name_H-M 'P 1'
_symmetry_Int_Tables_number 1
loop_
_symmetry_equiv_pos_as_xyz
'x,y,z'
loop_
_atom_site_label
_atom_site_type_symbol
_atom_site_fract_x
_atom_site_fract_y
_atom_site_fract_z
H1 H 0.5588 0.5908 0.5359
S1 S 0.5948 0.5480 0.1270
I1 I 0.8131 0.8498 0.6619
S2 S 0.4052 0.4209 0.8730
I2 I 0.1869 0.1879 0.3381
H2 H 0.4412 0.0549 0.4641
```

V = 36.48 Å³/atom
ΔE to the lowest computed polymorph = 228 meV per atom

# 2
Compound: H2S8I
Source: Alexandria via LeMat-Bulk
Functional: PBE-GGA
Structure: relaxed

```
data_H2S8I
_chemical_formula_sum 'H2 S8 I1'
_cell_length_a 5.2858
_cell_length_b 11.1480
_cell_length_c 14.0632
_cell_angle_alpha 124.02
_cell_angle_beta 122.13
_cell_angle_gamma 29.81
_symmetry_space_group_name_H-M 'P 1'
_symmetry_Int_Tables_number 1
loop_
_symmetry_equiv_pos_as_xyz
'x,y,z'
loop_
_atom_site_label
_atom_site_type_symbol
_atom_site_fract_x
_atom_site_fract_y
_atom_site_fract_z
H1 H 0.6688 0.6688 0.3376
S1 S 0.2899 0.9297 0.3197
I1 I 0.5000 0.0000 0.0000
S2 S 0.9701 0.6100 0.6803
S3 S 0.2259 0.5516 0.0000
S4 S 0.7101 0.0703 0.6803
S5 S 0.7741 0.4484 0.0000
H2 H 0.3312 0.3312 0.6624
S6 S 0.7073 0.2073 0.4146
S7 S 0.0299 0.3900 0.3197
S8 S 0.2927 0.7927 0.5854
```

E = -3.5482 eV/atom
V = 30.84 Å³/atom

# 3
Compound: HS3I
Source: Alexandria via LeMat-Bulk
Functional: PBE-GGA
Structure: relaxed

```
data_HS3I
_chemical_formula_sum 'H1 S3 I1'
_cell_length_a 4.3052
_cell_length_b 4.3052
_cell_length_c 4.3052
_cell_angle_alpha 90.00
_cell_angle_beta 90.00
_cell_angle_gamma 90.00
_symmetry_space_group_name_H-M 'P 1'
_symmetry_Int_Tables_number 1
loop_
_symmetry_equiv_pos_as_xyz
'x,y,z'
loop_
_atom_site_label
_atom_site_type_symbol
_atom_site_fract_x
_atom_site_fract_y
_atom_site_fract_z
S1 S 0.0000 0.0000 0.5000
H1 H 0.0000 0.0000 0.0000
I1 I 0.5000 0.5000 0.5000
S2 S 0.5000 0.0000 0.0000
S3 S 0.0000 0.5000 0.0000
```

V = 15.96 Å³/atom
ΔE to the lowest computed polymorph = 1151 meV per atom

# 4
Compound: H2S3I
Source: Alexandria via LeMat-Bulk
Functional: PBE-GGA
Structure: relaxed

```
data_H2S3I
_chemical_formula_sum 'H4 S6 I2'
_cell_length_a 3.2299
_cell_length_b 14.5218
_cell_length_c 16.2029
_cell_angle_alpha 35.92
_cell_angle_beta 107.33
_cell_angle_gamma 131.73
_symmetry_space_group_name_H-M 'P 1'
_symmetry_Int_Tables_number 1
loop_
_symmetry_equiv_pos_as_xyz
'x,y,z'
loop_
_atom_site_label
_atom_site_type_symbol
_atom_site_fract_x
_atom_site_fract_y
_atom_site_fract_z
H1 H 0.2286 0.7682 0.2830
S1 S 0.6937 0.5372 0.3881
I1 I 0.1773 0.1580 0.1362
H2 H 0.8013 0.5881 0.6913
I2 I 0.8227 0.8420 0.8638
S2 S 0.2996 0.9912 0.5508
H3 H 0.1987 0.4119 0.3087
S3 S 0.7370 0.6485 0.1944
S4 S 0.7004 0.0088 0.4492
S5 S 0.3063 0.4628 0.6119
S6 S 0.2630 0.3515 0.8056
H4 H 0.7714 0.2318 0.7170
```

E = -3.3785 eV/atom
V = 23.14 Å³/atom

Number 1: magnetization 2.0 μB/cell. Number 2: magnetization 0.0 μB/cell. Number 3: magnetization 0.0 μB/cell. Number 4: magnetization 0.0 μB/cell.